[1]
DFT (PBE-GGA) results for crystalline AcPrNdTm at its relaxed geometry.

Cell lengths 3.750, 3.750, 11.988 Å; angles 90.00, 90.00, 120.00 degrees
Sites, in units of the cell vectors:
Ac: 0.000 0.000 0.000
Pr: 0.667 0.333 0.511
Nd: 0.333 0.667 0.262
Tm: 0.333 0.667 0.748

## Properties
The spin magnetization comes out at 0.0 μB per cell. Its formation enthalpy at 0 K is 57.9 meV/atom. For the distance to the lowest polymorph of the same formula, the calculation gives 0 meV per atom. The calculation puts the total energy at -17.9 eV per cell.

[2]
DFT (PBE-GGA) results for crystalline ErTmNi at its relaxed geometry.

Cell lengths 6.571, 6.571, 6.571 Å; angles 150.38, 150.38, 42.38 degrees
Sites, in units of the cell vectors:
Er: 0.000 0.000 0.000
Tm: 0.263 0.263 0.000
Ni: 0.633 0.633 0.000

## Properties
The spin magnetization comes out at 0.0 μB per cell. Its formation enthalpy at 0 K is -283.9 meV/atom. For the distance to the lowest polymorph of the same formula, the calculation gives 37 meV per atom. The calculation puts the total energy at -15.7 eV per cell.

[3]
DFT (PBE-GGA) results for crystalline HfTiNbCr at its relaxed geometry.

Cell lengths 4.587, 4.587, 4.587 Å; angles 60.00, 60.00, 60.00 degrees
Sites, in units of the cell vectors:
Hf: 0.000 0.000 0.000
Ti: 0.750 0.750 0.750
Nb: 0.500 0.500 0.500
Cr: 0.250 0.250 0.250

## Properties
The spin magnetization comes out at 0.4 μB per cell. Its formation enthalpy at 0 K is 142.8 meV/atom. The calculation puts the total energy at -37.0 eV per cell.

[4]
DFT (PBE-GGA) results for crystalline LaHo3Sn2 at its relaxed geometry.

Cell lengths 9.358, 9.358, 9.472 Å; angles 112.59, 112.59, 28.74 degrees
Sites, in units of the cell vectors:
La: 0.115 0.115 0.141
La: 0.885 0.885 0.859
Ho: 0.057 0.057 0.691
Ho: 0.306 0.306 0.114
Ho: 0.359 0.359 0.518
Ho: 0.641 0.641 0.482
Ho: 0.694 0.694 0.886
Ho: 0.943 0.943 0.309
Sn: 0.240 0.240 0.706
Sn: 0.487 0.487 0.145
Sn: 0.513 0.513 0.855
Sn: 0.760 0.760 0.294

## Properties
The spin magnetization comes out at 0.0 μB per cell. Its formation enthalpy at 0 K is -507.5 meV/atom. The calculation puts the total energy at -59.4 eV per cell.

[5]
DFT (PBE-GGA) results for crystalline Mg2BeHPt6 at its relaxed geometry.

Cell lengths 5.841, 5.841, 5.851 Å; angles 119.83, 119.83, 90.09 degrees
Sites, in units of the cell vectors:
Mg: 0.250 0.750 0.000
Mg: 0.750 0.250 0.000
Be: 0.000 0.000 0.500
H: 0.500 0.500 0.500
Pt: 0.257 0.257 0.014
Pt: 0.258 0.258 0.500
Pt: 0.258 0.742 0.500
Pt: 0.742 0.258 0.500
Pt: 0.742 0.742 0.500
Pt: 0.743 0.743 0.986

## Properties
The spin magnetization comes out at 0.0 μB per cell. The calculation puts the total energy at -51.5 eV per cell.

[6]
DFT (PBE-GGA) results for crystalline Na3Np2ScTe6 at its relaxed geometry.

Cell lengths 7.631, 7.631, 7.947 Å; angles 99.23, 99.23, 120.02 degrees
Sites, in units of the cell vectors:
Na: 0.000 0.000 0.000
Na: 0.330 0.670 0.000
Na: 0.670 0.330 0.000
Np: 0.166 0.834 0.500
Np: 0.834 0.166 0.500
Sc: 0.500 0.500 0.500
Te: 0.103 0.423 0.270
Te: 0.257 0.257 0.730
Te: 0.423 0.103 0.270
Te: 0.577 0.897 0.730
Te: 0.743 0.743 0.270
Te: 0.897 0.577 0.730

## Properties
The spin magnetization comes out at 8.0 μB per cell. The value obtained for the uncorrected formation energy is -926 meV/atom. The calculation puts the total energy at -66.1 eV per cell.

[7]
DFT (PBE-GGA) results for crystalline RbEr5Se8 at its relaxed geometry.

Cell lengths 10.745, 10.745, 10.054 Å; angles 104.26, 104.26, 22.06 degrees
Sites, in units of the cell vectors:
Rb: 0.000 0.000 0.000
Er: 0.156 0.156 0.454
Er: 0.204 0.204 0.841
Er: 0.500 0.500 0.499
Er: 0.796 0.796 0.158
Er: 0.845 0.845 0.545
Se: 0.078 0.078 0.649
Se: 0.270 0.270 0.352
Se: 0.332 0.332 0.006
Se: 0.420 0.420 0.691
Se: 0.581 0.581 0.308
Se: 0.668 0.668 0.993
Se: 0.731 0.731 0.647
Se: 0.922 0.922 0.349

## Properties
The spin magnetization comes out at 0.0 μB per cell. The value obtained for the uncorrected formation energy is -1835 meV/atom. The calculation puts the total energy at -77.3 eV per cell.

[8]
DFT (PBE-GGA) results for crystalline EuZnHg3 at its relaxed geometry.

Cell lengths 5.196, 5.196, 5.196 Å; angles 90.00, 90.00, 90.00 degrees
Sites, in units of the cell vectors:
Eu: 0.000 0.000 0.000
Zn: 0.500 0.500 0.500
Hg: 0.000 0.500 0.500
Hg: 0.500 0.000 0.500
Hg: 0.500 0.500 0.000

## Properties
The spin magnetization comes out at 7.2 μB per cell. Its formation enthalpy at 0 K is -135.6 meV/atom. The calculation puts the total energy at -13.1 eV per cell.

[9]
DFT (PBE-GGA) results for crystalline Cs2CdAg2 at its relaxed geometry.

Cell lengths 9.702, 9.702, 6.301 Å; angles 90.00, 90.00, 134.37 degrees
Sites, in units of the cell vectors:
Cs: 0.075 0.925 0.750
Cs: 0.283 0.717 0.250
Cs: 0.717 0.283 0.750
Cs: 0.925 0.075 0.250
Cd: 0.500 0.500 0.000
Cd: 0.500 0.500 0.500
Ag: 0.197 0.419 0.750
Ag: 0.419 0.197 0.250
Ag: 0.581 0.803 0.750
Ag: 0.803 0.581 0.250

## Properties
The spin magnetization comes out at 0.0 μB per cell. Its formation enthalpy at 0 K is 3.1 meV/atom. For the distance to the lowest polymorph of the same formula, the calculation gives 0 meV per atom. The calculation puts the total energy at -16.6 eV per cell.

[10]
DFT (PBE-GGA) results for crystalline ScP2Ir at its relaxed geometry.

Cell lengths 3.949, 4.036, 4.474 Å; angles 90.00, 94.12, 90.00 degrees
Sites, in units of the cell vectors:
Sc: 0.000 0.000 0.000
P: 0.363 0.500 0.748
P: 0.633 0.000 0.490
Ir: 0.540 0.500 0.242

## Properties
The spin magnetization comes out at 0.0 μB per cell. Its formation enthalpy at 0 K is -605.8 meV/atom. For the distance to the lowest polymorph of the same formula, the calculation gives 266 meV per atom. The calculation puts the total energy at -28.4 eV per cell.

[11]
DFT (PBE-GGA) results for crystalline CaLu at its relaxed geometry.

Cell lengths 3.598, 5.872, 6.501 Å; angles 90.00, 90.07, 90.00 degrees
Sites, in units of the cell vectors:
Ca: 0.249 0.250 0.406
Ca: 0.751 0.750 0.594
Lu: 0.251 0.750 0.076
Lu: 0.749 0.250 0.924

## Properties
The spin magnetization comes out at 1.5 μB per cell. Its formation enthalpy at 0 K is 155.4 meV/atom. The calculation puts the total energy at -12.4 eV per cell.

[12]
DFT (PBE-GGA) results for crystalline Hg4I3O2 at its relaxed geometry.

Cell lengths 10.162, 10.162, 7.297 Å; angles 100.50, 100.50, 104.11 degrees
Sites, in units of the cell vectors:
Hg: 0.012 0.232 0.060
Hg: 0.232 0.012 0.560
Hg: 0.329 0.329 0.414
Hg: 0.329 0.329 0.914
Hg: 0.671 0.671 0.086
Hg: 0.671 0.671 0.586
Hg: 0.768 0.988 0.440
Hg: 0.988 0.768 0.940
I: 0.036 0.763 0.448
I: 0.237 0.964 0.052
I: 0.394 0.606 0.750
I: 0.606 0.394 0.250
I: 0.763 0.036 0.948
I: 0.964 0.237 0.552
O: 0.220 0.362 0.145
O: 0.362 0.220 0.645
O: 0.638 0.780 0.355
O: 0.780 0.638 0.855

## Properties
The spin magnetization comes out at 0.0 μB per cell. For the distance to the lowest polymorph of the same formula, the calculation gives 30 meV per atom. The value obtained for the uncorrected formation energy is -164 meV/atom. The calculation puts the total energy at -34.5 eV per cell.

[13]
DFT (PBE-GGA) results for crystalline Cu4SCl at its relaxed geometry.

Cell lengths 9.288, 9.288, 3.888 Å; angles 101.93, 101.93, 136.50 degrees
Sites, in units of the cell vectors:
Cu: 0.088 0.192 0.140
Cu: 0.132 0.565 0.850
Cu: 0.192 0.088 0.640
Cu: 0.435 0.868 0.650
Cu: 0.565 0.132 0.350
Cu: 0.808 0.912 0.360
Cu: 0.868 0.435 0.150
Cu: 0.912 0.808 0.860
S: 0.172 0.828 0.750
S: 0.828 0.172 0.250
Cl: 0.402 0.598 0.250
Cl: 0.598 0.402 0.750

## Properties
The spin magnetization comes out at 0.0 μB per cell. The value obtained for the uncorrected formation energy is -30 meV/atom. The calculation puts the total energy at -45.1 eV per cell.

[14]
DFT (PBE-GGA) results for crystalline ErSc2Al at its relaxed geometry.

Cell lengths 6.152, 6.152, 6.152 Å; angles 146.86, 131.12, 60.34 degrees
Sites, in units of the cell vectors:
Er: 0.000 0.000 0.000
Sc: 0.280 0.780 0.500
Sc: 0.720 0.220 0.500
Al: 0.500 0.500 0.000

## Properties
The spin magnetization comes out at 0.0 μB per cell. Its formation enthalpy at 0 K is -229.0 meV/atom. For the distance to the lowest polymorph of the same formula, the calculation gives 0 meV per atom. The calculation puts the total energy at -21.9 eV per cell.

[15]
DFT (PBE-GGA) results for crystalline K2CaTc at its relaxed geometry.

Cell lengths 3.848, 5.522, 6.484 Å; angles 90.00, 90.00, 90.00 degrees
Sites, in units of the cell vectors:
K: 0.000 0.000 0.000
K: 0.500 0.500 0.000
Ca: 0.000 0.500 0.500
Tc: 0.500 0.000 0.500

## Properties
The spin magnetization comes out at 2.4 μB per cell. Its formation enthalpy at 0 K is 1079.6 meV/atom. For the distance to the lowest polymorph of the same formula, the calculation gives 270 meV per atom. The calculation puts the total energy at -10.2 eV per cell.

[16]
DFT (PBE-GGA) results for crystalline AgOsCl6 at its relaxed geometry.

Cell lengths 6.821, 6.821, 6.821 Å; angles 55.35, 55.35, 55.35 degrees
Sites, in units of the cell vectors:
Ag: 0.000 0.000 0.000
Os: 0.500 0.500 0.500
Cl: 0.116 0.435 0.717
Cl: 0.283 0.884 0.565
Cl: 0.435 0.717 0.116
Cl: 0.565 0.283 0.884
Cl: 0.717 0.116 0.435
Cl: 0.884 0.565 0.283

## Properties
The spin magnetization comes out at 3.0 μB per cell. For the distance to the lowest polymorph of the same formula, the calculation gives 0 meV per atom. The value obtained for the uncorrected formation energy is -408 meV/atom. The calculation puts the total energy at -28.4 eV per cell.

[17]
DFT (PBE-GGA) results for crystalline HfZnAs2 at its relaxed geometry.

Cell lengths 6.690, 6.690, 6.690 Å; angles 33.43, 33.43, 33.43 degrees
Sites, in units of the cell vectors:
Hf: 0.000 0.000 0.000
Zn: 0.833 0.833 0.833
As: 0.418 0.418 0.418
As: 0.585 0.585 0.585

## Properties
The spin magnetization comes out at 0.0 μB per cell. Its formation enthalpy at 0 K is -373.4 meV/atom. The calculation puts the total energy at -22.0 eV per cell.

[18]
DFT (PBE-GGA) results for crystalline La5NdSm2 at its relaxed geometry.

Cell lengths 9.924, 9.924, 6.765 Å; angles 99.80, 99.80, 62.88 degrees
Sites, in units of the cell vectors:
La: 0.064 0.936 0.750
La: 0.123 0.291 0.022
La: 0.291 0.123 0.522
La: 0.316 0.500 0.841
La: 0.500 0.316 0.341
La: 0.500 0.684 0.659
La: 0.684 0.500 0.159
La: 0.709 0.877 0.478
La: 0.877 0.709 0.978
La: 0.936 0.064 0.250
Nd: 0.000 0.500 0.500
Nd: 0.500 0.000 0.000
Sm: 0.176 0.657 0.349
Sm: 0.343 0.824 0.151
Sm: 0.657 0.176 0.849
Sm: 0.824 0.343 0.651

## Properties
The spin magnetization comes out at 0.0 μB per cell. Its formation enthalpy at 0 K is 122.1 meV/atom. For the distance to the lowest polymorph of the same formula, the calculation gives 111 meV per atom. The calculation puts the total energy at -75.7 eV per cell.

[19]
DFT (PBE-GGA) results for crystalline FeHgPb2 at its relaxed geometry.

Cell lengths 3.401, 5.357, 5.380 Å; angles 90.00, 90.00, 90.00 degrees
Sites, in units of the cell vectors:
Fe: 0.000 0.000 0.000
Hg: 0.000 0.500 0.500
Pb: 0.500 0.000 0.500
Pb: 0.500 0.500 0.000

## Properties
The spin magnetization comes out at 3.0 μB per cell. Its formation enthalpy at 0 K is 492.7 meV/atom. The calculation puts the total energy at -14.2 eV per cell.

[20]
DFT (PBE-GGA) results for crystalline Mn5PdPt6 at its relaxed geometry.

Cell lengths 7.405, 7.405, 7.405 Å; angles 147.95, 121.32, 68.44 degrees
Sites, in units of the cell vectors:
Mn: 0.000 0.000 0.000
Mn: 0.175 0.675 0.500
Mn: 0.347 0.347 0.000
Mn: 0.653 0.653 0.000
Mn: 0.825 0.325 0.500
Pd: 0.500 0.000 0.500
Pt: 0.070 0.832 0.238
Pt: 0.229 0.500 0.729
Pt: 0.407 0.168 0.238
Pt: 0.593 0.832 0.762
Pt: 0.771 0.500 0.271
Pt: 0.930 0.168 0.762

## Properties
The spin magnetization comes out at 22.1 μB per cell. Its formation enthalpy at 0 K is -349.5 meV/atom. The calculation puts the total energy at -91.5 eV per cell.